Entry 1:
Entry from the Alexandria database: an optimized crystal structure of TaNiTe2N (PBE).

Geometry as extended XYZ:
```
5
Lattice="-3.463 -3.914 -0.233 0.290 -0.566 5.193 -2.562 2.244 0.388" Properties=species:S:1:pos:R:3 pbc="T T T"
Te 0.145 -0.283 2.596
Ni 0.000 0.000 0.000
Te -1.731 -1.957 -0.116
Ta -2.868 -1.118 2.674
N -1.281 1.122 0.194
```

## Properties
- DOS(E_F) (states/eV per atom) = 0.874
- total magnetic moment (μB per formula unit) = 1.2
- energy above the most stable polymorph in this dataset (eV/atom) = 0.194
- space-group type = No. 123
- E_form (uncorrected) (eV per atom) = 0.70
- electronic total energy (eV per atom) = -5.7463


Entry 2:
Entry from the Alexandria database: an optimized crystal structure of TaNiTe2N (PBE).

Geometry as extended XYZ:
```
5
Lattice="-1.975 4.938 1.429 -4.678 -2.361 1.694 1.492 -0.425 3.530" Properties=species:S:1:pos:R:3 pbc="T T T"
N 0.746 -0.212 1.765
Te -2.339 -1.180 0.847
Ni -2.580 1.076 3.326
Ta 0.000 0.000 0.000
Te -0.987 2.469 0.715
```

## Properties
- DOS(E_F) (states/eV per atom) = 1.108
- total magnetic moment (μB per formula unit) = 0.8
- energy above the most stable polymorph in this dataset (eV/atom) = 0.000
- space-group type = No. 123
- E_form (uncorrected) (eV per atom) = 0.51
- electronic total energy (eV per atom) = -5.9400


Entry 3:
Entry from the Alexandria database: an optimized crystal structure of TaTi2NiN (PBE).

Geometry as extended XYZ:
```
5
Lattice="-2.981 -0.748 -2.618 1.633 -3.597 -0.832 -2.273 -1.746 3.088" Properties=species:S:1:pos:R:3 pbc="T T T"
N 0.000 0.000 0.000
Ni -1.811 -3.046 -0.181
Ti -1.491 -0.374 -1.309
Ti 0.817 -1.799 -0.416
Ta -1.137 -0.873 1.544
```

## Properties
- DOS(E_F) (states/eV per atom) = 1.200
- total magnetic moment (μB per formula unit) = 0.2
- space-group type = No. 123
- E_form (uncorrected) (eV per atom) = -0.71
- electronic total energy (eV per atom) = -9.0621


Entry 4:
Entry from the Alexandria database: an optimized crystal structure of Ta2VNiN (PBE).

Geometry as extended XYZ:
```
5
Lattice="-1.513 1.989 3.418 1.677 -2.992 2.484 3.208 2.007 0.252" Properties=species:S:1:pos:R:3 pbc="T T T"
Ni 1.686 0.502 3.077
V 1.604 1.004 0.126
Ta 0.838 -1.496 1.242
Ta -0.757 0.995 1.709
N 0.000 0.000 0.000
```

## Properties
- DOS(E_F) (states/eV per atom) = 0.718
- total magnetic moment (μB per formula unit) = 0.0
- space-group type = No. 123
- E_form (uncorrected) (eV per atom) = -0.48
- electronic total energy (eV per atom) = -9.8619